No. 1
The following is a GGA-PBE calculation of an optimized crystal structure of NiHg3Ir, from Alexandria via LeMat-Bulk.

extended XYZ file:
```
5
Lattice="-4.2145 -2.7779 -1.2840 3.0097 -4.1582 -0.8825 -0.5545 -1.4560 4.9699" Properties=species:S:1:pos:R:3 pbc="T T T"
Ni -0.8796 -4.1961 1.4017
Ir 0.0000 0.0000 0.0000
Hg 1.5048 -2.0791 -0.4412
Hg -0.2772 -0.7280 2.4850
Hg -2.1072 -1.3890 -0.6420
```

Calculated values
- ΔE_f (eV per atom) = 1.017
- energy relative to the lowest polymorph listed for this composition (kJ/mol of atoms) = 0.0

No. 2
The following is a GGA-PBE calculation of an optimized crystal structure of NiHg2Ir, from Alexandria via LeMat-Bulk.

extended XYZ file:
```
4
Lattice="4.5422 0.0000 0.0000 0.0000 4.5422 0.0000 0.0000 0.0000 3.2643" Properties=species:S:1:pos:R:3 pbc="T T T"
Hg 0.0000 0.0000 0.0000
Hg 2.2711 2.2711 0.0000
Ir 2.2711 0.0000 1.6321
Ni 0.0000 2.2711 1.6321
```

Calculated values
- ΔE_f (eV per atom) = 0.415
- energy relative to the lowest polymorph listed for this composition (kJ/mol of atoms) = 9.2

No. 3
The following is a GGA-PBE calculation of an optimized crystal structure of NiHgIr, from Alexandria via LeMat-Bulk.

extended XYZ file:
```
3
Lattice="7.3017 -0.0044 0.0027 6.4947 2.6902 -0.0146 0.8070 -1.1888 2.4182" Properties=species:S:1:pos:R:3 pbc="T T T"
Hg 0.8859 -1.1653 2.4035
Ir 4.9735 0.0540 1.6387
Ni 9.5510 1.4195 0.7824
```

Calculated values
- ΔE_f (eV per atom) = 0.453
- energy relative to the lowest polymorph listed for this composition (kJ/mol of atoms) = 13.4

| no. | size of the total moment (Bohr magnetons per cell) |
| --- | --- |
| 1 | 0.000 |
| 2 | 0.000 |
| 3 | 0.431 |